Crystalline MnZn2ReN at its relaxed geometry. Source: the Alexandria database, functional GGA-PBE.

Summary:
The value obtained for the formation energy from raw total energies is 2.00 eV per atom. As for the density of states at the Fermi level: 3.4 states/eV/cell.

```
data_MnZn2ReN
_chemical_formula_sum 'Mn1 Zn2 Re1 N1'
_cell_length_a 4.977
_cell_length_b 4.977
_cell_length_c 4.534
_cell_angle_alpha 90.00
_cell_angle_beta 90.00
_cell_angle_gamma 90.00
_space_group_name_H-M_alt 'P 4/m m m'
_space_group_IT_number 123
_space_group_name_Hall '-P 4 2'
loop_
_atom_site_label
_atom_site_fract_x
_atom_site_fract_y
_atom_site_fract_z
Mn1 0.000 0.000 0.000
Zn1 0.000 0.500 0.500
Re1 0.000 0.000 0.500
N1 0.500 0.500 0.000
```

Crystalline Mn2RhN at its relaxed geometry. Source: the Alexandria database, functional GGA-PBE.

Summary:
The value obtained for the formation energy from raw total energies is -0.20 eV per atom. As for the density of states at the Fermi level: 9.4 states/eV/cell.

```
data_Mn2RhN
_chemical_formula_sum 'Mn6 Rh3 N3'
_cell_length_a 2.8094
_cell_length_b 2.8094
_cell_length_c 19.4881
_cell_angle_alpha 90.00
_cell_angle_beta 90.00
_cell_angle_gamma 120.00
_space_group_name_H-M_alt 'R -3 m'
_space_group_IT_number 166
_space_group_name_Hall '-R 3 2"'
loop_
_atom_site_label
_atom_site_fract_x
_atom_site_fract_y
_atom_site_fract_z
Mn1 0.0000 0.0000 0.2244
Rh1 0.0000 0.0000 0.0000
N1 0.0000 0.0000 0.5000
```

Crystalline Mn2RhN at its relaxed geometry. Source: the Alexandria database, functional GGA-PBE.

Summary:
The value obtained for the formation energy from raw total energies is -0.19 eV per atom. As for the density of states at the Fermi level: 8.3 states/eV/cell.

```
data_Mn2RhN
_chemical_formula_sum 'Mn6 Rh3 N3'
_cell_length_a 2.8039
_cell_length_b 2.8039
_cell_length_c 19.4037
_cell_angle_alpha 90.00
_cell_angle_beta 90.00
_cell_angle_gamma 120.00
_space_group_name_H-M_alt 'R 3 m'
_space_group_IT_number 160
_space_group_name_Hall 'R 3 -2"'
loop_
_atom_site_label
_atom_site_fract_x
_atom_site_fract_y
_atom_site_fract_z
Mn1 0.0000 0.0000 0.0000
Mn2 0.0000 0.0000 0.2180
Rh1 0.0000 0.0000 0.4411
N1 0.0000 0.0000 0.6070
```

Crystalline MnRh2N2 at its relaxed geometry. Source: the Alexandria database, functional GGA-PBE.

Summary:
The value obtained for the formation energy from raw total energies is 1.11 eV per atom. Its relative energy among the computed polymorphs is 0.36 eV/f.u. As for the density of states at the Fermi level: 12.1 states/eV/cell.

```
data_MnRh2N2
_chemical_formula_sum 'Mn2 Rh4 N4'
_cell_length_a 3.822
_cell_length_b 3.822
_cell_length_c 8.062
_cell_angle_alpha 90.00
_cell_angle_beta 90.00
_cell_angle_gamma 90.00
_space_group_name_H-M_alt 'I 4/m m m'
_space_group_IT_number 139
_space_group_name_Hall '-I 4 2'
loop_
_atom_site_label
_atom_site_fract_x
_atom_site_fract_y
_atom_site_fract_z
Mn1 0.000 0.000 0.000
Rh1 0.000 0.000 0.338
N1 0.000 0.500 0.250
```